No. 1
Compound: AlGe2Pd2
Source: Alexandria via LeMat-Bulk
Functional: GGA-PBE
Structure: optimized geometry

## Properties
Total magnetic moment in μB/cell: 0.000
Calculated volume in Å³/f.u.: 85.0
Calculated total energy in eV per cell: -48.8

Structure (POSCAR):
```
AlGe2Pd2
1.0
7.370 0.000 0.000
0.000 7.370 0.000
0.000 0.000 3.129
Al Ge Pd
2 4 4
Direct
0.000 0.000 0.000
0.500 0.500 0.000
0.160 0.340 0.500
0.340 0.840 0.500
0.660 0.160 0.500
0.840 0.660 0.500
0.140 0.640 0.000
0.360 0.140 0.000
0.640 0.860 0.000
0.860 0.360 0.000
```

No. 2
Compound: Al2Ge2Pd7
Source: Alexandria via LeMat-Bulk
Functional: GGA-PBE
Structure: optimized geometry

## Properties
Total magnetic moment in μB/cell: 0.000
Calculated volume in Å³/f.u.: 181.4
Calculated total energy in eV per cell: -57.4

Structure (POSCAR):
```
Al2Ge2Pd7
1.0
3.753 -4.642 0.000
3.753 4.642 0.000
-1.990 0.000 5.208
Al Ge Pd
2 2 7
Direct
0.203 0.797 0.000
0.797 0.203 0.000
0.317 0.317 0.801
0.683 0.683 0.199
0.064 0.579 0.294
0.088 0.088 0.311
0.421 0.936 0.706
0.500 0.500 0.500
0.579 0.064 0.294
0.912 0.912 0.689
0.936 0.421 0.706
```

No. 3
Compound: AlGe2Pd2
Source: Alexandria via LeMat-Bulk
Functional: GGA-PBE
Structure: optimized geometry

## Properties
Total magnetic moment in μB/cell: 0.000
Calculated volume in Å³/f.u.: 85.0
Calculated total energy in eV per cell: -48.2

Structure (POSCAR):
```
AlGe2Pd2
1.0
7.777 0.000 0.000
0.000 7.777 0.000
0.000 0.000 2.810
Al Ge Pd
2 4 4
Direct
0.000 0.000 0.000
0.500 0.500 0.000
0.131 0.369 0.000
0.369 0.869 0.000
0.631 0.131 0.000
0.869 0.631 0.000
0.167 0.667 0.500
0.333 0.167 0.500
0.667 0.833 0.500
0.833 0.333 0.500
```

No. 4
Compound: Pm2AlGe3Pd4
Source: Alexandria via LeMat-Bulk
Functional: GGA-PBE
Structure: optimized geometry

## Properties
Total magnetic moment in μB/cell: 0.000
Calculated volume in Å³/f.u.: 190.7
Calculated total energy in eV per cell: -56.4

Structure (POSCAR):
```
Pm2AlGe3Pd4
1.0
4.305 0.000 0.000
0.000 4.305 0.000
0.000 0.000 10.286
Pm Al Ge Pd
2 1 3 4
Direct
0.000 0.500 0.249
0.500 0.000 0.751
0.000 0.000 0.500
0.000 0.500 0.869
0.500 0.000 0.131
0.500 0.500 0.500
0.000 0.000 0.000
0.000 0.500 0.629
0.500 0.000 0.371
0.500 0.500 0.000
```

No. 5
Compound: PmAlGe2Pd
Source: Alexandria via LeMat-Bulk
Functional: GGA-PBE
Structure: optimized geometry

## Properties
Total magnetic moment in μB/cell: 0.000
Calculated volume in Å³/f.u.: 95.7
Calculated total energy in eV per cell: -26.3

Structure (POSCAR):
```
PmAlGe2Pd
1.0
-2.053 2.053 5.676
2.053 -2.053 5.676
2.053 2.053 -5.676
Pm Al Ge Pd
1 1 2 1
Direct
0.000 0.000 0.000
0.750 0.250 0.500
0.389 0.389 0.000
0.611 0.611 0.000
0.250 0.750 0.500
```

No. 6
Compound: Pm2Al4GePd3
Source: Alexandria via LeMat-Bulk
Functional: GGA-PBE
Structure: optimized geometry

## Properties
Total magnetic moment in μB/cell: 0.000
Calculated volume in Å³/f.u.: 193.9
Calculated total energy in eV per cell: -52.5

Structure (POSCAR):
```
Pm2Al4GePd3
1.0
4.345 0.000 0.000
0.000 4.345 0.000
0.000 0.000 10.272
Pm Al Ge Pd
2 4 1 3
Direct
0.000 0.500 0.249
0.500 0.000 0.751
0.000 0.000 0.500
0.000 0.500 0.863
0.500 0.000 0.137
0.500 0.500 0.500
0.500 0.500 0.000
0.000 0.000 0.000
0.000 0.500 0.626
0.500 0.000 0.374
```

No. 7
Compound: Pm2Al3GePd4
Source: Alexandria via LeMat-Bulk
Functional: GGA-PBE
Structure: optimized geometry

## Properties
Total magnetic moment in μB/cell: 0.000
Calculated volume in Å³/f.u.: 191.6
Calculated total energy in eV per cell: -54.6

Structure (POSCAR):
```
Pm2Al3GePd4
1.0
4.330 0.000 0.000
0.000 4.330 0.000
0.000 0.000 10.220
Pm Al Ge Pd
2 3 1 4
Direct
0.000 0.500 0.246
0.500 0.000 0.754
0.000 0.000 0.000
0.000 0.500 0.625
0.500 0.000 0.375
0.500 0.500 0.000
0.000 0.000 0.500
0.000 0.500 0.869
0.500 0.000 0.131
0.500 0.500 0.500
```

No. 8
Compound: Pm2AlGe4Pd3
Source: Alexandria via LeMat-Bulk
Functional: GGA-PBE
Structure: optimized geometry

## Properties
Total magnetic moment in μB/cell: 0.000
Calculated volume in Å³/f.u.: 192.2
Calculated total energy in eV per cell: -55.0

Structure (POSCAR):
```
Pm2AlGe4Pd3
1.0
4.198 0.000 0.000
0.000 4.198 0.000
0.000 0.000 10.908
Pm Al Ge Pd
2 1 4 3
Direct
0.000 0.500 0.247
0.500 0.000 0.753
0.000 0.000 0.500
0.000 0.000 0.000
0.000 0.500 0.642
0.500 0.000 0.358
0.500 0.500 0.000
0.000 0.500 0.868
0.500 0.000 0.132
0.500 0.500 0.500
```

Question: What is the formula in the second record?
Answer: Al2Ge2Pd7